First-principles (PBE+U) data for ZnFeO2 after structural relaxation, as listed in Alexandria via LeMat-Bulk.

Results
calculated total energy: -5.569 eV per atom
polymorph energy (0 for the lowest one): 13 meV/atom
magnetization: 4.0 μB per formula unit

a = 3.298 Å, b = 5.709 Å, c = 5.725 Å
α = 99.66°, β = 91.23°, γ = 105.15°
Space group P1 (No. 1)
Inequivalent atoms, fractional coordinates:
Zn  0.000  0.000  0.000 [1 per cell]
Zn  0.251  0.500  0.742 [1 per cell]
Fe  0.500  0.993  0.505 [1 per cell]
Fe  0.735  0.495  0.234 [1 per cell]
O  0.068  0.132  0.695 [1 per cell]
O  0.301  0.616  0.432 [1 per cell]
O  0.560  0.117  0.188 [1 per cell]
O  0.818  0.629  0.926 [1 per cell]